No. 1
First-principles (GGA-PBE) data for a geometry-optimized Mg2Tc structure, as listed in the Alexandria database.

abc: 10.317 3.167 7.307
angles: 90.00 110.23 90.00
Space group C2/m (No. 12)
Unique sites:
Mg  0.011  0.000  0.212 (multiplicity 4)
Mg  0.166  0.500  0.606 (multiplicity 4)
Tc  0.190  0.500  0.068 (multiplicity 4)

Summary:
As for the relative energy among the computed polymorphs: 0.1148 eV/atom. As for the formation energy: 0.120 eV per atom. The crystal system is monoclinic.

***

No. 2
First-principles (GGA-PBE) data for a geometry-optimized Tb5Sc4Ga4 structure, as listed in the Alexandria database.

abc: 11.806 11.806 4.596
angles: 90.00 90.00 90.00
Space group I4/m (No. 87)
Unique sites:
Tb  0.000  0.000  0.000 (multiplicity 2)
Tb  0.117  0.804  0.500 (multiplicity 8)
Sc  0.090  0.400  0.500 (multiplicity 8)
Ga  0.079  0.247  0.000 (multiplicity 8)

Summary:
As for the formation energy: -0.411 eV per atom. The crystal system is tetragonal.

***

No. 3
First-principles (GGA-PBE) data for a geometry-optimized Na2ScGaSe4 structure, as listed in the Alexandria database.

abc: 7.874 8.065 11.442
angles: 90.00 90.00 90.00
Space group Imma (No. 74)
Unique sites:
Na  0.000  0.000  0.000 (multiplicity 4)
Na  0.250  0.250  0.250 (multiplicity 4)
Sc  0.000  0.000  0.500 (multiplicity 4)
Ga  0.250  0.250  0.750 (multiplicity 4)
Se  0.000  0.030  0.742 (multiplicity 8)
Se  0.234  0.250  0.508 (multiplicity 8)

Summary:
For the formation energy without anion corrections, the calculation gives -860 kJ/mol of formula units. The crystal system is orthorhombic.

***

No. 4
First-principles (GGA-PBE) data for a geometry-optimized AcCeCo2 structure, as listed in the Alexandria database.

abc: 3.447 3.447 7.089
angles: 90.00 90.00 90.00
Space group P4/mmm (No. 123)
Unique sites:
Ac  0.000  0.000  0.000 (multiplicity 1)
Ce  0.000  0.000  0.500 (multiplicity 1)
Co  0.500  0.500  0.306 (multiplicity 2)

Summary:
As for the relative energy among the computed polymorphs: 0.1427 eV/atom. As for the formation energy: 0.010 eV per atom. The crystal system is tetragonal.

***

No. 5
First-principles (GGA-PBE) data for a geometry-optimized PO structure, as listed in the Alexandria database.

abc: 3.475 4.167 4.608
angles: 72.98 83.59 75.91
Space group P1 (No. 1)
Unique sites:
P  0.000  0.000  0.000 (multiplicity 1)
P  0.407  0.372  0.941 (multiplicity 1)
O  0.211  0.773  0.744 (multiplicity 1)
O  0.488  0.404  0.249 (multiplicity 1)

Summary:
As for the relative energy among the computed polymorphs: 0.1928 eV/atom. For the formation energy without anion corrections, the calculation gives -169 kJ/mol of formula units. The crystal system is triclinic.

***

No. 6
First-principles (GGA-PBE) data for a geometry-optimized Ac5SmY4 structure, as listed in the Alexandria database.

abc: 19.332 5.487 7.481
angles: 90.00 105.53 90.00
Space group C2/m (No. 12)
Unique sites:
Ac  0.000  0.000  0.000 (multiplicity 2)
Ac  0.101  0.500  0.802 (multiplicity 4)
Ac  0.200  0.000  0.601 (multiplicity 4)
Sm  0.000  0.000  0.500 (multiplicity 2)
Y  0.100  0.500  0.301 (multiplicity 4)
Y  0.200  0.000  0.101 (multiplicity 4)

Summary:
As for the formation energy: 0.039 eV per atom. The crystal system is monoclinic.

***

No. 7
First-principles (GGA-PBE) data for a geometry-optimized CeInP2Rh5 structure, as listed in the Alexandria database.

abc: 4.060 4.060 10.196
angles: 90.00 90.00 90.00
Space group P4/mmm (No. 123)
Unique sites:
Ce  0.000  0.000  0.000 (multiplicity 1)
In  0.000  0.000  0.500 (multiplicity 1)
P  0.500  0.500  0.223 (multiplicity 2)
Rh  0.000  0.500  0.320 (multiplicity 4)
Rh  0.500  0.500  0.000 (multiplicity 1)

Summary:
As for the formation energy: -0.653 eV per atom. The crystal system is tetragonal.

***

No. 8
First-principles (GGA-PBE) data for a geometry-optimized AgHg2O2 structure, as listed in the Alexandria database.

abc: 6.951 4.652 12.142
angles: 90.00 90.00 90.00
Space group Pnma (No. 62)
Unique sites:
Ag  0.081  0.250  0.082 (multiplicity 4)
Hg  0.081  0.250  0.409 (multiplicity 4)
Hg  0.144  0.250  0.783 (multiplicity 4)
O  0.163  0.750  0.804 (multiplicity 4)
O  0.165  0.750  0.488 (multiplicity 4)

Summary:
For the formation energy without anion corrections, the calculation gives -32 kJ/mol of formula units. The crystal system is orthorhombic.

***

No. 9
First-principles (GGA-PBE) data for a geometry-optimized LaCd2Co structure, as listed in the Alexandria database.

abc: 5.038 5.038 7.104
angles: 90.00 90.00 90.00
Space group I-4m2 (No. 119)
Unique sites:
La  0.000  0.000  0.000 (multiplicity 2)
Cd  0.000  0.000  0.500 (multiplicity 2)
Cd  0.000  0.500  0.750 (multiplicity 2)
Co  0.000  0.500  0.250 (multiplicity 2)

Summary:
As for the formation energy: 0.060 eV per atom. The crystal system is tetragonal.

***

No. 10
First-principles (GGA-PBE) data for a geometry-optimized Tb3PtBr3 structure, as listed in the Alexandria database.

abc: 11.846 11.846 11.846
angles: 90.00 90.00 90.00
Space group I4_132 (No. 214)
Unique sites:
Tb  0.109  0.359  0.125 (multiplicity 24)
Pt  0.125  0.125  0.125 (multiplicity 8)
Br  0.120  0.130  0.625 (multiplicity 24)

Summary:
For the formation energy without anion corrections, the calculation gives -996 kJ/mol of formula units. The crystal system is cubic.

***

No. 11
First-principles (GGA-PBE) data for a geometry-optimized NaCo2H structure, as listed in the Alexandria database.

abc: 5.758 5.758 5.758
angles: 90.00 90.00 90.00
Space group Fm-3m (No. 225)
Unique sites:
Na  0.000  0.000  0.000 (multiplicity 4)
Co  0.250  0.250  0.250 (multiplicity 8)
H  0.000  0.000  0.500 (multiplicity 4)

Summary:
As for the relative energy among the computed polymorphs: 0.9951 eV/atom. The crystal system is cubic.

***

No. 12
First-principles (GGA-PBE) data for a geometry-optimized TiCr3P structure, as listed in the Alexandria database.

abc: 4.183 4.183 4.183
angles: 90.00 90.00 90.00
Space group Pm-3m (No. 221)
Unique sites:
Ti  0.000  0.000  0.000 (multiplicity 1)
Cr  0.000  0.500  0.500 (multiplicity 3)
P  0.500  0.500  0.500 (multiplicity 1)

Summary:
As for the relative energy among the computed polymorphs: 0.0000 eV/atom. As for the formation energy: 0.360 eV per atom. The crystal system is cubic.

***

No. 13
First-principles (GGA-PBE) data for a geometry-optimized Tb6SbP3S2 structure, as listed in the Alexandria database.

abc: 17.747 4.059 8.161
angles: 90.00 103.67 90.00
Space group C2/m (No. 12)
Unique sites:
Tb  0.001  0.000  0.232 (multiplicity 4)
Tb  0.165  0.500  0.089 (multiplicity 4)
Tb  0.174  0.500  0.581 (multiplicity 4)
Sb  0.000  0.500  0.500 (multiplicity 2)
P  0.000  0.500  0.000 (multiplicity 2)
P  0.166  0.000  0.331 (multiplicity 4)
S  0.169  0.000  0.838 (multiplicity 4)

Summary:
For the formation energy without anion corrections, the calculation gives -1951 kJ/mol of formula units. The crystal system is monoclinic.

***

No. 14
First-principles (GGA-PBE) data for a geometry-optimized CoCuBr structure, as listed in the Alexandria database.

abc: 5.852 5.852 5.852
angles: 90.00 90.00 90.00
Space group F-43m (No. 216)
Unique sites:
Co  0.000  0.000  0.000 (multiplicity 4)
Cu  0.250  0.250  0.750 (multiplicity 4)
Br  0.250  0.250  0.250 (multiplicity 4)

Summary:
As for the relative energy among the computed polymorphs: 0.1889 eV/atom. For the formation energy without anion corrections, the calculation gives 187 kJ/mol of formula units. The crystal system is cubic.

***

No. 15
First-principles (GGA-PBE) data for a geometry-optimized TcSnIrOsS structure, as listed in the Alexandria database.

abc: 14.949 2.890 3.960
angles: 90.00 102.42 90.00
Space group Cm (No. 8)
Unique sites:
Tc  0.000  0.000  0.000 (multiplicity 2)
Sn  0.200  0.000  0.157 (multiplicity 2)
Ir  0.098  0.500  0.578 (multiplicity 2)
Os  0.416  0.000  0.446 (multiplicity 2)
S  0.348  0.500  0.775 (multiplicity 2)

Summary:
As for the relative energy among the computed polymorphs: 0.0148 eV/atom. For the formation energy without anion corrections, the calculation gives 39 kJ/mol of formula units. The crystal system is monoclinic.

***

No. 16
First-principles (GGA-PBE) data for a geometry-optimized Nd9TmPb2 structure, as listed in the Alexandria database.

abc: 5.014 5.014 15.396
angles: 90.00 90.00 90.00
Space group P4/mmm (No. 123)
Unique sites:
Nd  0.000  0.000  0.000 (multiplicity 1)
Nd  0.000  0.000  0.337 (multiplicity 2)
Nd  0.000  0.500  0.172 (multiplicity 4)
Nd  0.000  0.500  0.500 (multiplicity 2)
Tm  0.500  0.500  0.000 (multiplicity 1)
Pb  0.500  0.500  0.337 (multiplicity 2)

Summary:
As for the formation energy: -0.209 eV per atom. The crystal system is tetragonal.

***

No. 17
First-principles (GGA-PBE) data for a geometry-optimized Ac5La12Nd structure, as listed in the Alexandria database.

abc: 6.296 10.974 10.974
angles: 111.05 90.37 90.30
Space group P-1 (No. 2)
Unique sites:
Ac  0.000  0.000  0.000 (multiplicity 1)
Ac  0.000  0.334  0.666 (multiplicity 2)
Ac  0.500  0.164  0.836 (multiplicity 2)
La  0.054  0.647  0.979 (multiplicity 2)
La  0.054  0.979  0.647 (multiplicity 2)
La  0.071  0.319  0.319 (multiplicity 2)
La  0.431  0.808  0.808 (multiplicity 2)
La  0.447  0.152  0.484 (multiplicity 2)
La  0.448  0.484  0.152 (multiplicity 2)
Nd  0.500  0.500  0.500 (multiplicity 1)

Summary:
As for the formation energy: 0.067 eV per atom. The crystal system is triclinic.

***

No. 18
First-principles (GGA-PBE) data for a geometry-optimized Ce6Cd2Os structure, as listed in the Alexandria database.

abc: 8.7919 8.7919 3.5829
angles: 90.00 90.00 120.00
Space group P-62m (No. 189)
Unique sites:
Ce  0.0000  0.2484  0.0000 (multiplicity 3)
Ce  0.0000  0.6177  0.5000 (multiplicity 3)
Cd  0.3333  0.6667  0.0000 (multiplicity 2)
Os  0.0000  0.0000  0.5000 (multiplicity 1)

Summary:
As for the relative energy among the computed polymorphs: 0.0000 eV/atom. As for the formation energy: -0.102 eV per atom. The crystal system is hexagonal.

***

No. 19
First-principles (GGA-PBE) data for a geometry-optimized LiLuSnPb structure, as listed in the Alexandria database.

abc: 7.364 7.364 7.364
angles: 90.00 90.00 90.00
Space group F-43m (No. 216)
Unique sites:
Li  0.000  0.000  0.000 (multiplicity 4)
Lu  0.000  0.000  0.500 (multiplicity 4)
Sn  0.250  0.250  0.750 (multiplicity 4)
Pb  0.250  0.250  0.250 (multiplicity 4)

Summary:
As for the formation energy: -0.310 eV per atom. The crystal system is cubic.

***

No. 20
First-principles (GGA-PBE) data for a geometry-optimized Nd3Al8Au3 structure, as listed in the Alexandria database.

abc: 4.441 10.085 12.771
angles: 90.00 90.00 90.00
Space group Immm (No. 71)
Unique sites:
Nd  0.000  0.000  0.000 (multiplicity 2)
Nd  0.000  0.000  0.310 (multiplicity 4)
Al  0.000  0.282  0.127 (multiplicity 8)
Al  0.000  0.368  0.333 (multiplicity 8)
Au  0.000  0.226  0.500 (multiplicity 4)
Au  0.000  0.500  0.000 (multiplicity 2)

Summary:
As for the relative energy among the computed polymorphs: 0.0224 eV/atom. As for the formation energy: -0.553 eV per atom. The crystal system is orthorhombic.

***

No. 21
First-principles (GGA-PBE) data for a geometry-optimized MgPNF2 structure, as listed in the Alexandria database.

abc: 3.571 3.571 5.026
angles: 90.00 90.00 90.00
Space group P4/mmm (No. 123)
Unique sites:
Mg  0.000  0.000  0.000 (multiplicity 1)
P  0.500  0.500  0.500 (multiplicity 1)
N  0.000  0.000  0.500 (multiplicity 1)
F  0.000  0.500  0.000 (multiplicity 2)

Summary:
As for the relative energy among the computed polymorphs: 0.0000 eV/atom. For the formation energy without anion corrections, the calculation gives -358 kJ/mol of formula units. The crystal system is tetragonal.

***

No. 22
First-principles (GGA-PBE) data for a geometry-optimized Pr3SmAu2 structure, as listed in the Alexandria database.

abc: 7.317 14.304 7.610
angles: 90.00 90.00 90.00
Space group Ibam (No. 72)
Unique sites:
Pr  0.000  0.000  0.250 (multiplicity 4)
Pr  0.000  0.269  0.250 (multiplicity 8)
Sm  0.000  0.500  0.000 (multiplicity 4)
Au  0.203  0.140  0.000 (multiplicity 8)

Summary:
As for the relative energy among the computed polymorphs: 0.1267 eV/atom. As for the formation energy: -0.383 eV per atom. The crystal system is orthorhombic.